A relaxed NaGaNi crystal. Source: Alexandria, functional PBE.

Cell and atoms, written as CIF:
```
data_NaGaNi
_cell_length_a 6.522
_cell_length_b 5.785
_cell_length_c 4.788
_cell_angle_alpha 75.52
_cell_angle_beta 59.18
_cell_angle_gamma 45.30
_space_group_name_H-M_alt 'P 1'
_space_group_IT_number 1
_space_group_name_Hall 'P 1'
loop_
_atom_site_label
_atom_site_type_symbol
_atom_site_fract_x
_atom_site_fract_y
_atom_site_fract_z
_atom_site_occupancy
Na1 Na 0.184 0.816 0.184 1
Na2 Na 0.816 0.184 0.816 1
Ga1 Ga 0.286 0.286 0.714 1
Ga2 Ga 0.714 0.714 0.286 1
Ni1 Ni 0.250 0.250 0.250 1
Ni2 Ni 0.750 0.750 0.750 1
```

Properties
- calculated volume (Å³/atom) = 18.08
- total DFT energy (no corrections) (Ry per atom) = -0.2599
- crystal system = orthorhombic



A relaxed NaGa9Ni2 crystal. Source: Alexandria, functional PBE.

Cell and atoms, written as CIF:
```
data_NaGa9Ni2
_cell_length_a 8.520
_cell_length_b 8.520
_cell_length_c 8.520
_cell_angle_alpha 98.69
_cell_angle_beta 98.69
_cell_angle_gamma 134.26
_space_group_name_H-M_alt 'P 1'
_space_group_IT_number 1
_space_group_name_Hall 'P 1'
loop_
_atom_site_label
_atom_site_type_symbol
_atom_site_fract_x
_atom_site_fract_y
_atom_site_fract_z
_atom_site_occupancy
Na1 Na 0.375 0.625 0.750 1
Na2 Na 0.625 0.375 0.250 1
Ga1 Ga 0.114 0.556 0.318 1
Ga2 Ga 0.114 0.796 0.558 1
Ga3 Ga 0.125 0.875 0.250 1
Ga4 Ga 0.204 0.262 0.318 1
Ga5 Ga 0.204 0.886 0.942 1
Ga6 Ga 0.262 0.204 0.818 1
Ga7 Ga 0.262 0.444 0.058 1
Ga8 Ga 0.444 0.262 0.558 1
Ga9 Ga 0.444 0.886 0.182 1
Ga10 Ga 0.556 0.114 0.818 1
Ga11 Ga 0.556 0.738 0.442 1
Ga12 Ga 0.738 0.556 0.942 1
Ga13 Ga 0.738 0.796 0.182 1
Ga14 Ga 0.796 0.114 0.058 1
Ga15 Ga 0.796 0.738 0.682 1
Ga16 Ga 0.875 0.125 0.750 1
Ga17 Ga 0.886 0.204 0.442 1
Ga18 Ga 0.886 0.444 0.682 1
Ni1 Ni 0.000 0.000 0.000 1
Ni2 Ni 0.000 0.000 0.500 1
Ni3 Ni 0.000 0.500 0.000 1
Ni4 Ni 0.500 0.000 0.500 1
```

Properties
- calculated volume (Å³/atom) = 17.00
- total DFT energy (no corrections) (Ry per atom) = -0.2561
- crystal system = tetragonal



A relaxed NaGaNi crystal. Source: Alexandria, functional PBE.

Cell and atoms, written as CIF:
```
data_NaGaNi
_cell_length_a 4.913
_cell_length_b 4.268
_cell_length_c 5.619
_cell_angle_alpha 90.00
_cell_angle_beta 105.50
_cell_angle_gamma 90.00
_space_group_name_H-M_alt 'P 1'
_space_group_IT_number 1
_space_group_name_Hall 'P 1'
loop_
_atom_site_label
_atom_site_type_symbol
_atom_site_fract_x
_atom_site_fract_y
_atom_site_fract_z
_atom_site_occupancy
Na1 Na 0.225 0.250 0.452 1
Na2 Na 0.775 0.750 0.548 1
Ga1 Ga 0.349 0.750 0.998 1
Ga2 Ga 0.651 0.250 0.002 1
Ni1 Ni 0.121 0.250 0.946 1
Ni2 Ni 0.879 0.750 0.054 1
```

Properties
- calculated volume (Å³/atom) = 18.92
- total DFT energy (no corrections) (Ry per atom) = -0.2588
- crystal system = monoclinic



A relaxed NaGaNi3 crystal. Source: Alexandria, functional PBE.

Cell and atoms, written as CIF:
```
data_NaGaNi3
_cell_length_a 4.445
_cell_length_b 4.445
_cell_length_c 4.445
_cell_angle_alpha 90.00
_cell_angle_beta 90.00
_cell_angle_gamma 90.00
_space_group_name_H-M_alt 'P 1'
_space_group_IT_number 1
_space_group_name_Hall 'P 1'
loop_
_atom_site_label
_atom_site_type_symbol
_atom_site_fract_x
_atom_site_fract_y
_atom_site_fract_z
_atom_site_occupancy
Na1 Na 0.000 0.000 0.000 1
Ga1 Ga 0.500 0.500 0.500 1
Ni1 Ni 0.000 0.500 0.500 1
Ni2 Ni 0.500 0.000 0.500 1
Ni3 Ni 0.500 0.500 0.000 1
```

Properties
- calculated volume (Å³/atom) = 17.57
- total DFT energy (no corrections) (Ry per atom) = -0.2792
- crystal system = cubic